1.
Computed, not measured: a geometry-optimized Cs2HfMn structure at the PBE level of DFT.

The structure in extended XYZ format:
```
4
Lattice="6.2502 0.0000 0.0000 3.1251 5.4128 0.0000 3.1251 1.8043 5.1033" Properties=species:S:1:pos:R:3 pbc="T T T"
Cs 9.3753 5.4128 3.8274
Cs 3.1251 1.8043 1.2758
Hf 6.2502 3.6085 2.5516
Mn 0.0000 0.0000 0.0000
```

Results
Calculated formation energy in eV per atom: 1.699
DOS at the Fermi energy in states/eV/atom: 1.73
Size of the total moment in μB/f.u.: 1.2

2.
Computed, not measured: a geometry-optimized Tm3Mn3S8 structure at the PBE level of DFT.

The structure in extended XYZ format:
```
14
Lattice="-1.7099 -5.3204 5.1311 -1.2341 -7.1163 -2.3226 5.1213 -5.3584 1.6180" Properties=species:S:1:pos:R:3 pbc="T T T"
S 3.2211 -7.0354 1.9007
S 1.6394 -13.3985 3.3329
S 2.3153 -9.8306 4.6086
Tm 2.5607 -2.6792 0.8090
S 0.5380 -4.3966 1.0937
Tm -0.8549 -2.6602 2.5656
S -1.0438 -10.7597 2.5258
Mn 1.3575 -11.0947 2.7598
Tm -0.6170 -3.5581 -1.1613
S -0.3895 -7.0153 3.7576
S -0.1380 -7.9645 -0.1820
S 2.5668 -10.7798 0.6689
Mn 0.8198 -6.7003 1.6667
Mn 0.0000 0.0000 0.0000
```

Results
Raw formation energy in eV per atom: -1.337
DOS at the Fermi energy in states/eV/atom: 0.18
Size of the total moment in μB/f.u.: 14.0

3.
Computed, not measured: a geometry-optimized MnCr2Cl structure at the PBE level of DFT.

The structure in extended XYZ format:
```
4
Lattice="-2.0966 2.0723 3.3091 -3.2958 -0.5800 -2.9055 -0.6141 -2.5449 1.2047" Properties=species:S:1:pos:R:3 pbc="T T T"
Cl -1.9550 -1.5625 -0.8504
Mn -1.3554 -0.2363 2.2569
Cr 0.0000 0.0000 0.0000
Cr -2.6962 0.7462 0.2018
```

Results
Energy above the most stable polymorph in this dataset in meV per atom: 505
Raw formation energy in eV per atom: 0.600
DOS at the Fermi energy in states/eV/atom: 0.76
Size of the total moment in μB/f.u.: 2.0

4.
Computed, not measured: a geometry-optimized TbLuSiPd structure at the PBE level of DFT.

The structure in extended XYZ format:
```
4
Lattice="4.9367 0.0000 0.0000 2.4683 4.2753 0.0000 2.4683 1.4251 4.0308" Properties=species:S:1:pos:R:3 pbc="T T T"
Pd 7.4050 4.2753 3.0231
Tb 0.0000 0.0000 0.0000
Si 2.4683 1.4251 1.0077
Lu 4.9367 2.8502 2.0154
```

Results
Raw formation energy in eV per atom: -0.734
DOS at the Fermi energy in states/eV/atom: 0.41
Size of the total moment in μB/f.u.: 0.0

5.
Computed, not measured: a geometry-optimized LiPd2C structure at the PBE level of DFT.

The structure in extended XYZ format:
```
8
Lattice="6.9277 0.0000 0.0000 0.0000 6.9277 0.0000 3.4639 3.4639 2.3618" Properties=species:S:1:pos:R:3 pbc="T T T"
C 6.9277 3.4639 1.1809
Pd 7.7209 5.1958 0.5905
Li 3.4639 3.4639 0.0000
Pd 5.1958 4.2570 1.7714
Pd 8.6597 2.6707 1.7714
Li 3.4639 6.9277 1.1809
C 0.0000 0.0000 0.0000
Pd 6.1346 1.7319 0.5905
```

Results
Calculated formation energy in eV per atom: 0.158
DOS at the Fermi energy in states/eV/atom: 0.15
Size of the total moment in μB/f.u.: 0.0

6.
Computed, not measured: a geometry-optimized Be3HgAu10 structure at the PBE level of DFT.

The structure in extended XYZ format:
```
28
Lattice="7.5958 0.0000 4.3855 2.5319 7.1614 4.3855 0.0000 0.0000 8.7709" Properties=species:S:1:pos:R:3 pbc="T T T"
Be 6.2100 1.9599 6.7858
Au 5.0639 1.0802 8.7709
Au 6.2426 4.4142 10.8126
Au 2.5481 0.0000 7.2998
Au 3.8852 2.7472 10.8126
Au 0.0000 0.0000 5.8286
Be 6.2100 1.9599 10.7560
Au 2.5481 0.0000 1.4712
Be 2.7717 1.9599 8.7709
Au 1.6826 4.7590 2.9143
Au 6.2426 4.4142 6.7293
Au 2.7064 4.4142 8.7709
Au 5.0639 6.0812 8.7709
Au 7.4214 2.7472 8.7709
Hg 7.5958 5.3711 13.1564
Au 0.8494 2.4024 1.4712
Be 3.9178 5.2015 10.7560
Be 3.9178 5.2015 6.7858
Au 3.8852 2.7472 6.7293
Hg 2.5319 1.7904 4.3855
Au 4.2307 4.7590 4.3855
Au 5.0477 0.0000 5.8566
Au 0.0000 0.0000 2.9423
Au 5.0477 0.0000 2.9143
Au 1.6826 4.7590 5.8566
Be 7.3561 5.2015 8.7709
Au 0.8494 2.4024 7.2998
Au 5.8971 2.4024 4.3855
```

Results
Calculated formation energy in eV per atom: -0.060
DOS at the Fermi energy in states/eV/atom: 0.34
Size of the total moment in μB/f.u.: 0.0

7.
Computed, not measured: a geometry-optimized In3Si2 structure at the PBE level of DFT.

The structure in extended XYZ format:
```
10
Lattice="0.0000 6.5083 11.2283 1.6132 0.0000 11.2283 1.6132 6.5083 0.0000" Properties=species:S:1:pos:R:3 pbc="T T T"
In 1.6977 9.7624 16.8425
In 2.5790 7.9449 13.5876
In 1.7724 4.6907 14.4832
In 0.8911 6.5083 11.2283
Si 1.0084 3.7902 11.9308
Si 1.8150 5.9723 6.3166
In 2.5790 11.5799 20.0973
In 1.7724 8.3258 7.9734
Si 1.8150 7.0443 16.1400
Si 1.0084 9.2264 10.5258
```

Results
Raw formation energy in eV per atom: 0.243
DOS at the Fermi energy in states/eV/atom: 0.38
Size of the total moment in μB/f.u.: 0.0

8.
Computed, not measured: a geometry-optimized BaBeOs2 structure at the PBE level of DFT.

The structure in extended XYZ format:
```
4
Lattice="2.8915 0.0000 0.0000 0.0000 4.8208 0.0000 0.0000 0.0000 5.2349" Properties=species:S:1:pos:R:3 pbc="T T T"
Be 0.0000 2.4104 2.6174
Os 0.0000 0.0000 0.0000
Os 1.4458 2.4104 0.0000
Ba 1.4458 0.0000 2.6174
```

Results
Calculated formation energy in eV per atom: 1.408
DOS at the Fermi energy in states/eV/atom: 1.22
Size of the total moment in μB/f.u.: 0.0